First-principles (GGA-PBE) data for a geometry-optimized NaBi2Au structure, as listed in Alexandria via LeMat-Bulk.

abc: 3.935 3.935 7.003
angles: 90.00 90.00 90.00
Fractional coordinates of all 4 atoms:
1 Na 0.000 0.000 0.000
2 Bi 0.500 0.500 0.283
3 Bi 0.500 0.500 0.717
4 Au 0.000 0.000 0.500

## Properties
Total magnetic moment in Bohr magnetons per cell: 0.000
E above lowest polymorph in eV/f.u.: 0.435
SG: No. 123
Formation energy in meV/atom: -66